1.
Computed, not measured: GeTeAs2 after structural relaxation at the PBE level of DFT.

crystal system = tetragonal
mass density = 5.3 g/cm³
VASP energy = -4.02 eV per atom
uncorrected formation energy = 0.24 eV per atom
energy above the most stable polymorph in this dataset = 123 meV/atom

abc: 6.8850 6.8850 6.7456
angles: 59.31 59.31 90.00
Closest atoms and distances in Å follow each position.
Sites, in units of the cell vectors:
Te1 0.7500 0.2500 0.5000  4 As 2.89
As1 0.5836 0.1250 0.2500  2 Ge 2.53
Ge1 0.5000 0.5000 0.0000  4 As 2.53
As2 0.1664 0.6250 0.2500  2 Ge 2.53
As3 0.3750 0.4164 0.7500  2 Ge 2.53
As4 0.8750 0.8336 0.7500  2 Ge 2.53
Te2 0.0000 0.0000 0.0000  4 As 2.89
Ge2 0.2500 0.7500 0.5000  4 As 2.53



2.
Computed, not measured: Fe2ReIr after structural relaxation at the PBE level of DFT.

crystal system = orthorhombic
mass density = 15.4 g/cm³
VASP energy = -9.51 eV per atom
energy relative to the elements = 0.04 eV/atom

abc: 4.9688 4.9688 4.9688
angles: 145.92 129.18 62.61
Closest atoms and distances in Å follow each position.
Sites, in units of the cell vectors:
Fe1 0.9883 0.9883 0.0000  2 Fe 2.39, 2 Re 2.57, 4 Ir 2.59
Fe2 0.7646 0.2646 0.5000  2 Fe 2.39, 4 Re 2.59, 2 Ir 2.61
Ir1 0.5091 0.5091 0.0000  6 Fe 2.59-2.61, 4 Re 2.72-2.89
Re1 0.2380 0.7380 0.5000  6 Fe 2.57-2.59, 2 Ir 2.72



3.
Computed, not measured: CsYCl3 after structural relaxation at the PBE level of DFT.

crystal system = cubic
mass density = 2.9 g/cm³
VASP energy = -4.44 eV per atom
uncorrected formation energy = -1.87 eV per atom

abc: 10.1895 10.1895 10.1895
angles: 60.00 60.00 60.00
Closest atoms and distances in Å follow each position.
Sites, in units of the cell vectors:
Cl1 0.0586 0.0586 0.4414  2 Y 2.72
Cl2 0.0586 0.4414 0.0586  2 Y 2.72
Cs1 0.6250 0.6250 0.6250  6 Cl 3.67
Cl3 0.4414 0.4414 0.0586  2 Y 2.72
Cl4 0.8086 0.8086 0.1914  2 Y 2.72
Cl5 0.8086 0.1914 0.1914  2 Y 2.72
Cl6 0.4414 0.0586 0.0586  2 Y 2.72
Y1 0.1250 0.1250 0.6250  6 Cl 2.72
Cl7 0.1914 0.8086 0.8086  2 Y 2.72
Cl8 0.4414 0.0586 0.4414  2 Y 2.72
Y2 0.6250 0.1250 0.1250  6 Cl 2.72
Y3 0.1250 0.6250 0.1250  6 Cl 2.72
Cl9 0.1914 0.8086 0.1914  2 Y 2.72
Cl10 0.0586 0.4414 0.4414  2 Y 2.72
Cs2 0.1250 0.6250 0.6250  6 Cl 3.67
Cs3 0.6250 0.6250 0.1250  6 Cl 3.67
Cl11 0.8086 0.1914 0.8086  2 Y 2.72
Y4 0.1250 0.1250 0.1250  6 Cl 2.72
Cs4 0.6250 0.1250 0.6250  6 Cl 3.67
Cl12 0.1914 0.1914 0.8086  2 Y 2.72



4.
Computed, not measured: Tc2SnPb after structural relaxation at the PBE level of DFT.

crystal system = tetragonal
mass density = 10.1 g/cm³
VASP energy = -6.13 eV per atom
energy relative to the elements = 0.98 eV/atom
energy above the most stable polymorph in this dataset = 497 meV/atom

abc: 7.4933 7.4933 6.1107
angles: 52.18 52.18 90.00
Closest atoms and distances in Å follow each position.
Sites, in units of the cell vectors:
Tc1 0.8750 0.8600 0.7500  2 Sn 2.68, 2 Pb 2.83
Tc2 0.3750 0.3900 0.7500  2 Sn 2.68, 2 Pb 2.83
Sn1 0.5000 0.5000 0.0000  4 Tc 2.68
Pb1 0.7500 0.2500 0.5000  4 Tc 2.83, 2 Sn 3.04
Sn2 0.2500 0.7500 0.5000  4 Tc 2.68
Pb2 0.0000 0.0000 0.0000  4 Tc 2.83, 2 Sn 3.04
Tc3 0.1400 0.6250 0.2500  2 Sn 2.68, 2 Pb 2.83
Tc4 0.6100 0.1250 0.2500  2 Sn 2.68, 2 Pb 2.83



5.
Computed, not measured: RuAuC3 after structural relaxation at the PBE level of DFT.

crystal system = cubic
mass density = 8.6 g/cm³
VASP energy = -5.88 eV per atom
energy relative to the elements = 2.17 eV/atom
energy above the most stable polymorph in this dataset = 0 meV/atom

abc: 4.0142 4.0142 4.0142
angles: 90.00 90.00 90.00
Closest atoms and distances in Å follow each position.
Sites, in units of the cell vectors:
C1 0.5000 0.0000 0.0000  2 Ru 2.01
Au1 0.5000 0.5000 0.5000  12 C 2.84
C2 0.0000 0.5000 0.0000  2 Ru 2.01
Ru1 0.0000 0.0000 0.0000  6 C 2.01
C3 0.0000 0.0000 0.5000  2 Ru 2.01



6.
Computed, not measured: ZrScTl2 after structural relaxation at the PBE level of DFT.

crystal system = tetragonal
mass density = 9.8 g/cm³
VASP energy = -5.04 eV per atom
energy relative to the elements = -0.14 eV/atom

abc: 4.6536 4.6514 4.2640
angles: 90.00 90.00 90.00
Closest atoms and distances in Å follow each position.
Sites, in units of the cell vectors:
Zr1 0.5000 0.0000 0.5000  8 Tl 3.16, 4 Sc 3.29
Sc1 0.0000 0.5000 0.5000  8 Tl 3.16, 4 Zr 3.29
Tl1 0.5000 0.5000 0.0000  4 Zr 3.16, 4 Sc 3.16, 4 Tl 3.29
Tl2 0.0000 0.0000 0.0000  4 Sc 3.16, 4 Zr 3.16, 4 Tl 3.29



- Among the records above, which one has the highest VASP energy?
  GeTeAs2